(1)
A plane-wave DFT calculation with GGA-PBE was carried out for a relaxed Pu3GaRu crystal.

Computed properties:
* energy relative to the elements: -0.1039 eV per atom
* E_tot: -111.6 eV for the cell shown

```
data_Pu3GaRu
_chemical_formula_sum 'Pu6 Ga2 Ru2'
_space_group_name_H-M_alt 'P 1'
_space_group_IT_number 1
_cell_length_a 3.528
_cell_length_b 7.843
_cell_length_c 7.581
_cell_angle_alpha 101.11
_cell_angle_beta 88.78
_cell_angle_gamma 82.48
loop_
_space_group_symop_operation_xyz
'x,y,z'
loop_
_atom_site_label
_atom_site_type_symbol
_atom_site_fract_x
_atom_site_fract_y
_atom_site_fract_z
_atom_site_occupancy
Pu1 Pu 0.850 0.208 0.631 1
Pu2 Pu 0.616 0.160 0.243 1
Pu3 Pu 0.075 0.332 0.973 1
Pu4 Pu 0.375 0.024 0.929 1
Pu5 Pu 0.035 0.464 0.488 1
Pu6 Pu 0.414 0.861 0.428 1
Ga1 Ga 0.944 0.765 0.081 1
Ga2 Ga 0.502 0.592 0.823 1
Ru1 Ru 0.954 0.800 0.719 1
Ru2 Ru 0.492 0.559 0.193 1
```

---

(2)
A plane-wave DFT calculation with GGA-PBE was carried out for a relaxed Sr2PuRuO5 crystal.

Computed properties:
* E_tot: -139.5 eV for the cell shown

```
data_Sr2PuRuO5
_chemical_formula_sum 'Sr4 Pu2 Ru2 O10'
_space_group_name_H-M_alt 'P 1'
_space_group_IT_number 1
_cell_length_a 6.047
_cell_length_b 6.681
_cell_length_c 6.681
_cell_angle_alpha 90.00
_cell_angle_beta 90.00
_cell_angle_gamma 90.00
loop_
_space_group_symop_operation_xyz
'x,y,z'
loop_
_atom_site_label
_atom_site_type_symbol
_atom_site_fract_x
_atom_site_fract_y
_atom_site_fract_z
_atom_site_occupancy
O1 O 0.500 0.000 0.000 1
O2 O 0.500 0.500 0.500 1
O3 O 0.217 0.650 0.850 1
O4 O 0.217 0.350 0.150 1
O5 O 0.783 0.150 0.650 1
O6 O 0.783 0.650 0.850 1
O7 O 0.217 0.150 0.650 1
O8 O 0.783 0.350 0.150 1
O9 O 0.783 0.850 0.350 1
O10 O 0.217 0.850 0.350 1
Ru1 Ru 0.000 0.500 0.000 1
Ru2 Ru 0.000 0.000 0.500 1
Sr1 Sr 0.500 0.169 0.331 1
Sr2 Sr 0.500 0.331 0.831 1
Sr3 Sr 0.500 0.831 0.669 1
Sr4 Sr 0.500 0.669 0.169 1
Pu1 Pu 0.000 0.000 0.000 1
Pu2 Pu 0.000 0.500 0.500 1
```

---

(3)
A plane-wave DFT calculation with GGA-PBE was carried out for a relaxed TlCoN2 crystal.

Computed properties:
* distance to the lowest polymorph of the same formula: 103.1 kJ/mol of atoms
* E_tot: -19.4 eV for the cell shown

```
data_TlCoN2
_chemical_formula_sum 'Tl1 Co1 N2'
_space_group_name_H-M_alt 'P 1'
_space_group_IT_number 1
_cell_length_a 3.989
_cell_length_b 3.989
_cell_length_c 3.989
_cell_angle_alpha 60.00
_cell_angle_beta 60.00
_cell_angle_gamma 60.00
loop_
_space_group_symop_operation_xyz
'x,y,z'
loop_
_atom_site_label
_atom_site_type_symbol
_atom_site_fract_x
_atom_site_fract_y
_atom_site_fract_z
_atom_site_occupancy
Tl1 Tl 0.500 0.500 0.500 1
N1 N 0.750 0.750 0.750 1
N2 N 0.250 0.250 0.250 1
Co1 Co 0.000 0.000 0.000 1
```

---

(4)
A plane-wave DFT calculation with GGA-PBE was carried out for a relaxed SnSCl2 crystal.

Computed properties:
* distance to the lowest polymorph of the same formula: 59.3 kJ/mol of atoms
* E_tot: -11.7 eV for the cell shown

```
data_SnSCl2
_chemical_formula_sum 'Sn1 S1 Cl2'
_space_group_name_H-M_alt 'P 1'
_space_group_IT_number 1
_cell_length_a 9.430
_cell_length_b 9.430
_cell_length_c 9.430
_cell_angle_alpha 21.20
_cell_angle_beta 21.20
_cell_angle_gamma 21.20
loop_
_space_group_symop_operation_xyz
'x,y,z'
loop_
_atom_site_label
_atom_site_type_symbol
_atom_site_fract_x
_atom_site_fract_y
_atom_site_fract_z
_atom_site_occupancy
Sn1 Sn 0.500 0.500 0.500 1
S1 S 0.000 0.000 0.000 1
Cl1 Cl 0.083 0.083 0.083 1
Cl2 Cl 0.917 0.917 0.917 1
```

---

Question: Among the records above, which one has the highest E_tot?
Answer: SnSCl2